Entry 1:
DFT (PBE-GGA) results for a relaxed structure of YIr2.

POSCAR file:
```
YIr2
1.0
2.1392 -3.7052 0.0000
2.1392 3.7052 0.0000
0.0000 0.0000 3.9179
Ir Y
2 1
Direct
0.6667 0.3333 0.0000
0.3333 0.6667 0.0000
0.0000 0.0000 0.5000
```

Computed properties:
For the energy of formation from the pure elements, the calculation gives -0.544 eV per atom. The calculation puts the total magnetic moment at 0.00 Bohr magnetons per cell. Its space group is P6/mmm. The calculation puts the density of states at the Fermi level at 3.99 states/eV/cell.


Entry 2:
DFT (PBE-GGA) results for a relaxed structure of YIr2.

POSCAR file:
```
YIr2
1.0
-1.9904 -1.8721 4.8777
0.9951 -1.8064 5.1966
-0.5343 5.7184 3.8236
Ir Y
4 2
Direct
0.1536 0.1536 0.4840
0.2034 0.2034 0.8634
0.8464 0.8464 0.5160
0.7966 0.7966 0.1366
0.5271 0.5271 0.2174
0.4729 0.4729 0.7826
```

Computed properties:
For the energy of formation from the pure elements, the calculation gives -0.304 eV per atom. The calculation puts the total magnetic moment at 0.00 Bohr magnetons per cell. Its space group is C2/m. The calculation puts the density of states at the Fermi level at 3.64 states/eV/cell.


Entry 3:
DFT (PBE-GGA) results for a relaxed structure of Y2Ir.

POSCAR file:
```
Y2Ir
1.0
3.9238 0.0000 0.0000
1.9619 5.7833 -0.0140
0.0000 -4.2395 6.7593
Y Ir
4 2
Direct
0.2232 0.5536 0.0160
0.6322 0.7355 0.7204
0.9789 0.0423 0.5574
0.3879 0.2242 0.2617
0.9412 0.1176 0.9543
0.6699 0.6602 0.3234
```

Computed properties:
For the energy of formation from the pure elements, the calculation gives -0.651 eV per atom. The calculation puts the total magnetic moment at 0.00 Bohr magnetons per cell. Its space group is C2/m. The calculation puts the density of states at the Fermi level at 5.90 states/eV/cell.


Entry 4:
DFT (PBE-GGA) results for a relaxed structure of YIr2.

POSCAR file:
```
YIr2
1.0
-4.7844 -2.4742 -1.9938
2.0138 -1.0105 -3.5784
2.5027 -7.7344 3.5925
Ir Y
8 4
Direct
0.6303 0.2500 0.2402
0.8971 0.7500 0.4310
0.1029 0.2500 0.5690
0.8697 0.7500 0.7402
0.1303 0.2500 0.2598
0.3697 0.7500 0.7598
0.3971 0.7500 0.0690
0.6029 0.2500 0.9310
0.3815 0.7500 0.3921
0.1185 0.2500 0.8921
0.6185 0.2500 0.6079
0.8815 0.7500 0.1079
```

Computed properties:
For the energy of formation from the pure elements, the calculation gives -0.424 eV per atom. The calculation puts the total magnetic moment at 0.00 Bohr magnetons per cell. Its space group is Pnma. The calculation puts the density of states at the Fermi level at 7.76 states/eV/cell.


Entry 5:
DFT (PBE-GGA) results for a relaxed structure of Y3Ir4.

POSCAR file:
```
Y3Ir4
1.0
-1.8831 1.8831 10.1657
1.8831 -1.8831 10.1657
1.8831 1.8831 -10.1657
Ir Y
4 3
Direct
0.4369 0.4369 0.0000
0.1470 0.1470 0.0000
0.8530 0.8530 0.0000
0.5631 0.5631 0.0000
0.0000 0.0000 0.0000
0.3027 0.3027 0.0000
0.6973 0.6973 0.0000
```

Computed properties:
The calculation puts the energy above the lowest structure with this stoichiometry at 2.91 eV/f.u. For the energy of formation from the pure elements, the calculation gives -0.135 eV per atom. The calculation puts the total magnetic moment at 0.00 Bohr magnetons per cell. Its space group is I4/mmm. The calculation puts the density of states at the Fermi level at 6.98 states/eV/cell.


Entry 6:
DFT (PBE-GGA) results for a relaxed structure of YIr.

POSCAR file:
```
YIr
1.0
-6.2475 2.7392 1.9382
-5.9955 -1.2384 3.5792
-3.9610 2.0273 5.5219
Y Ir
2 2
Direct
0.0872 0.0872 0.0872
0.9128 0.9128 0.9128
0.3327 0.3327 0.3327
0.6673 0.6673 0.6673
```

Computed properties:
For the energy of formation from the pure elements, the calculation gives -0.547 eV per atom. The calculation puts the total magnetic moment at 0.00 Bohr magnetons per cell. Its space group is R-3m. The calculation puts the density of states at the Fermi level at 2.61 states/eV/cell.


Question: What is the formula in the fourth record?
Answer: YIr2


Question: Among the records above, which one has the highest energy of formation from the pure elements?
Answer: Y3Ir4